VASP calculation (PBE-GGA) on a relaxed structure of DyMn7Fe5.

The total energy is -8.54 eV/atom. Its symmetry is Imm2, No. 44. The energy of formation from the pure elements is 0.03 eV per formula unit.

a = 6.326 Å, b = 6.326 Å, c = 6.326 Å
α = 136.55°, β = 98.13°, γ = 97.62°
Fractional positions:
Dy (0.000, 0.000, 0.000)
Mn (0.227, 0.502, 0.726)
Mn (0.233, 0.733, 0.500)
Mn (0.363, 0.003, 0.360)
Mn (0.364, 0.364, 0.000)
Mn (0.639, 0.639, 0.000)
Mn (0.642, 0.003, 0.640)
Mn (0.776, 0.502, 0.274)
Fe (0.001, 0.001, 0.500)
Fe (0.001, 0.501, 0.000)
Fe (0.501, 0.001, 0.000)
Fe (0.501, 0.501, 0.500)
Fe (0.772, 0.272, 0.500)

VASP calculation (PBE-GGA) on a relaxed structure of DyMn9Fe3.

The total energy is -8.64 eV/atom. Its symmetry is C2/m, No. 12. The energy of formation from the pure elements is 0.16 eV per formula unit.

a = 6.303 Å, b = 6.303 Å, c = 6.311 Å
α = 97.78°, β = 97.78°, γ = 136.41°
Fractional positions:
Dy (0.000, 0.000, 0.000)
Mn (0.000, 0.361, 0.360)
Mn (0.000, 0.639, 0.640)
Mn (0.275, 0.501, 0.773)
Mn (0.361, 0.000, 0.360)
Mn (0.499, 0.725, 0.227)
Mn (0.500, 0.500, 0.500)
Mn (0.501, 0.275, 0.773)
Mn (0.639, 0.000, 0.640)
Mn (0.725, 0.499, 0.227)
Fe (0.000, 0.000, 0.500)
Fe (0.000, 0.500, 0.000)
Fe (0.500, 0.000, 0.000)

VASP calculation (PBE-GGA) on a relaxed structure of DyMn10Fe2.

The total energy is -8.69 eV/atom. Its symmetry is Cmcm, No. 63. The energy of formation from the pure elements is 0.21 eV per formula unit.

a = 6.337 Å, b = 6.337 Å, c = 8.033 Å
α = 90.00°, β = 90.00°, γ = 97.81°
Fractional positions:
Dy (0.121, 0.879, 0.750)
Dy (0.879, 0.121, 0.250)
Mn (0.129, 0.390, 0.750)
Mn (0.168, 0.832, 0.106)
Mn (0.168, 0.832, 0.394)
Mn (0.226, 0.226, 0.000)
Mn (0.226, 0.226, 0.500)
Mn (0.251, 0.483, 0.250)
Mn (0.390, 0.129, 0.250)
Mn (0.396, 0.604, 0.570)
Mn (0.396, 0.604, 0.930)
Mn (0.483, 0.251, 0.750)
Mn (0.517, 0.749, 0.250)
Mn (0.604, 0.396, 0.070)
Mn (0.604, 0.396, 0.430)
Mn (0.610, 0.871, 0.750)
Mn (0.749, 0.517, 0.750)
Mn (0.774, 0.774, 0.000)
Mn (0.774, 0.774, 0.500)
Mn (0.832, 0.168, 0.606)
Mn (0.832, 0.168, 0.894)
Mn (0.871, 0.610, 0.250)
Fe (0.000, 0.500, 0.000)
Fe (0.000, 0.500, 0.500)
Fe (0.500, 0.000, 0.000)
Fe (0.500, 0.000, 0.500)

VASP calculation (PBE-GGA) on a relaxed structure of DyMnFe4.

The total energy is -7.88 eV/atom. Its symmetry is F-43m, No. 216. The energy of formation from the pure elements is 0.32 eV per formula unit.

a = 4.922 Å, b = 4.922 Å, c = 4.922 Å
α = 60.00°, β = 60.00°, γ = 60.00°
Fractional positions:
Dy (0.000, 0.000, 0.000)
Mn (0.750, 0.750, 0.750)
Fe (0.376, 0.376, 0.376)
Fe (0.376, 0.376, 0.872)
Fe (0.376, 0.872, 0.376)
Fe (0.872, 0.376, 0.376)